## w
A plane-wave DFT calculation with GGA-PBE was carried out for an optimized crystal structure of NaSrAu.

CIF file:
```
data_NaSrAu
_space_group_name_H-M_alt 'F -4 3 m'
_space_group_IT_number 216
_space_group_name_Hall 'F -4 2 3'
_cell_length_a 7.424
_cell_length_b 7.424
_cell_length_c 7.424
_cell_angle_alpha 90.00
_cell_angle_beta 90.00
_cell_angle_gamma 90.00
loop_
_atom_site_label
_atom_site_type_symbol
_atom_site_fract_x
_atom_site_fract_y
_atom_site_fract_z
_atom_site_occupancy
Na1 Na 0.000 0.000 0.000 1
Sr1 Sr 0.250 0.250 0.750 1
Au1 Au 0.000 0.000 0.500 1
```

## x
A plane-wave DFT calculation with GGA-PBE was carried out for an optimized crystal structure of NaSrAu.

CIF file:
```
data_NaSrAu
_space_group_name_H-M_alt 'F -4 3 m'
_space_group_IT_number 216
_space_group_name_Hall 'F -4 2 3'
_cell_length_a 7.328
_cell_length_b 7.328
_cell_length_c 7.328
_cell_angle_alpha 90.00
_cell_angle_beta 90.00
_cell_angle_gamma 90.00
loop_
_atom_site_label
_atom_site_type_symbol
_atom_site_fract_x
_atom_site_fract_y
_atom_site_fract_z
_atom_site_occupancy
Na1 Na 0.000 0.000 0.000 1
Sr1 Sr 0.000 0.000 0.500 1
Au1 Au 0.250 0.250 0.250 1
```

## y
A plane-wave DFT calculation with GGA-PBE was carried out for an optimized crystal structure of NaSrAu.

CIF file:
```
data_NaSrAu
_space_group_name_H-M_alt 'P m m a'
_space_group_IT_number 51
_cell_length_a 4.840
_cell_length_b 4.077
_cell_length_c 10.030
_cell_angle_alpha 90.00
_cell_angle_beta 90.00
_cell_angle_gamma 90.00
loop_
_space_group_symop_operation_xyz
'x,y,z'
'-x,-y,-z'
'-x+1/2,-y,z'
'x+1/2,y,-z'
'x+1/2,-y,-z'
'-x+1/2,y,z'
'-x,y,-z'
'x,-y,z'
loop_
_atom_site_label
_atom_site_type_symbol
_atom_site_fract_x
_atom_site_fract_y
_atom_site_fract_z
_atom_site_occupancy
Na1 Na 0.250 0.000 0.107 1
Sr1 Sr 0.250 0.500 0.667 1
Au1 Au 0.250 0.000 0.412 1
```

Relative energies, in eV/atom, with the most stable structure set to zero: w 0.341; x 0.016; y 0.000.

## w
# NaTbTe4Au3, optimized geometry, DFT GGA-PBE
data_NaTbTe4Au3
_space_group_name_H-M_alt 'P -4 3 m'
_space_group_IT_number 215
_space_group_name_Hall 'P -4 2 3'
_cell_length_a 6.663
_cell_length_b 6.663
_cell_length_c 6.663
_cell_angle_alpha 90.00
_cell_angle_beta 90.00
_cell_angle_gamma 90.00
loop_
_atom_site_label
_atom_site_type_symbol
_atom_site_fract_x
_atom_site_fract_y
_atom_site_fract_z
_atom_site_occupancy
Na1 Na 0.000 0.000 0.000 1
Tb1 Tb 0.500 0.500 0.500 1
Te1 Te 0.251 0.251 0.251 1
Au1 Au 0.000 0.500 0.500 1
# Magnetization (μB per formula unit): 0.01

## x
# NaTbTe4Au3, optimized geometry, DFT GGA-PBE
data_NaTbTe4Au3
_space_group_name_H-M_alt 'P 1 21/m 1'
_space_group_IT_number 11
_cell_length_a 6.243
_cell_length_b 8.591
_cell_length_c 10.639
_cell_angle_alpha 90.00
_cell_angle_beta 105.89
_cell_angle_gamma 90.00
loop_
_space_group_symop_operation_xyz
'x,y,z'
'-x,-y,-z'
'-x,y+1/2,-z'
'x,-y+1/2,z'
loop_
_atom_site_label
_atom_site_type_symbol
_atom_site_fract_x
_atom_site_fract_y
_atom_site_fract_z
_atom_site_occupancy
Na1 Na 0.203 0.250 0.438 1
Tb1 Tb 0.281 0.750 0.180 1
Te1 Te 0.024 0.250 0.099 1
Te2 Te 0.229 0.750 0.452 1
Te3 Te 0.409 0.525 0.764 1
Au1 Au 0.168 0.250 0.735 1
Au2 Au 0.267 0.064 0.980 1
# Magnetization (μB per formula unit): 0.01

Relative energies, in eV/atom, with the most stable structure set to zero: w 0.000; x 0.015.

## w
# NaThAu, optimized geometry, DFT GGA-PBE
data_NaThAu
_space_group_name_H-M_alt 'F -4 3 m'
_space_group_IT_number 216
_space_group_name_Hall 'F -4 2 3'
_cell_length_a 6.999
_cell_length_b 6.999
_cell_length_c 6.999
_cell_angle_alpha 90.00
_cell_angle_beta 90.00
_cell_angle_gamma 90.00
loop_
_atom_site_label
_atom_site_type_symbol
_atom_site_fract_x
_atom_site_fract_y
_atom_site_fract_z
_atom_site_occupancy
Na1 Na 0.000 0.000 0.000 1
Th1 Th 0.000 0.000 0.500 1
Au1 Au 0.250 0.250 0.250 1
# Magnetization (μB per formula unit): 0.01

## x
# NaThAu, optimized geometry, DFT GGA-PBE
data_NaThAu
_space_group_name_H-M_alt 'F -4 3 m'
_space_group_IT_number 216
_space_group_name_Hall 'F -4 2 3'
_cell_length_a 7.043
_cell_length_b 7.043
_cell_length_c 7.043
_cell_angle_alpha 90.00
_cell_angle_beta 90.00
_cell_angle_gamma 90.00
loop_
_atom_site_label
_atom_site_type_symbol
_atom_site_fract_x
_atom_site_fract_y
_atom_site_fract_z
_atom_site_occupancy
Na1 Na 0.000 0.000 0.000 1
Th1 Th 0.250 0.250 0.750 1
Au1 Au 0.000 0.000 0.500 1
# Magnetization (μB per formula unit): 0.00

Relative energies, in eV/atom, with the most stable structure set to zero: w 0.000; x 0.468.

## w
# NaUAu, optimized geometry, DFT GGA-PBE
data_NaUAu
_space_group_name_H-M_alt 'F -4 3 m'
_space_group_IT_number 216
_space_group_name_Hall 'F -4 2 3'
_cell_length_a 6.907
_cell_length_b 6.907
_cell_length_c 6.907
_cell_angle_alpha 90.00
_cell_angle_beta 90.00
_cell_angle_gamma 90.00
loop_
_atom_site_label
_atom_site_type_symbol
_atom_site_fract_x
_atom_site_fract_y
_atom_site_fract_z
_atom_site_occupancy
Na1 Na 0.000 0.000 0.000 1
U1 U 0.000 0.000 0.500 1
Au1 Au 0.250 0.250 0.250 1
# Magnetization (μB per formula unit): 3.52

## x
# NaUAu, optimized geometry, DFT GGA-PBE
data_NaUAu
_space_group_name_H-M_alt 'F -4 3 m'
_space_group_IT_number 216
_space_group_name_Hall 'F -4 2 3'
_cell_length_a 6.959
_cell_length_b 6.959
_cell_length_c 6.959
_cell_angle_alpha 90.00
_cell_angle_beta 90.00
_cell_angle_gamma 90.00
loop_
_atom_site_label
_atom_site_type_symbol
_atom_site_fract_x
_atom_site_fract_y
_atom_site_fract_z
_atom_site_occupancy
Na1 Na 0.000 0.000 0.000 1
U1 U 0.250 0.250 0.750 1
Au1 Au 0.000 0.000 0.500 1
# Magnetization (μB per formula unit): 3.70

Relative energies, in eV/atom, with the most stable structure set to zero: w 0.000; x 0.414.

## w
# NbOsAu, optimized geometry, DFT GGA-PBE
data_NbOsAu
_space_group_name_H-M_alt 'F -4 3 m'
_space_group_IT_number 216
_space_group_name_Hall 'F -4 2 3'
_cell_length_a 6.169
_cell_length_b 6.169
_cell_length_c 6.169
_cell_angle_alpha 90.00
_cell_angle_beta 90.00
_cell_angle_gamma 90.00
loop_
_atom_site_label
_atom_site_type_symbol
_atom_site_fract_x
_atom_site_fract_y
_atom_site_fract_z
_atom_site_occupancy
Nb1 Nb 0.000 0.000 0.000 1
Os1 Os 0.250 0.250 0.250 1
Au1 Au 0.250 0.250 0.750 1
# Magnetization (μB per formula unit): 0.00

## x
# NbOsAu, optimized geometry, DFT GGA-PBE
data_NbOsAu
_space_group_name_H-M_alt 'F -4 3 m'
_space_group_IT_number 216
_space_group_name_Hall 'F -4 2 3'
_cell_length_a 6.183
_cell_length_b 6.183
_cell_length_c 6.183
_cell_angle_alpha 90.00
_cell_angle_beta 90.00
_cell_angle_gamma 90.00
loop_
_atom_site_label
_atom_site_type_symbol
_atom_site_fract_x
_atom_site_fract_y
_atom_site_fract_z
_atom_site_occupancy
Nb1 Nb 0.000 0.000 0.000 1
Os1 Os 0.250 0.250 0.750 1
Au1 Au 0.000 0.000 0.500 1
# Magnetization (μB per formula unit): 0.00

Relative energies, in eV/atom, with the most stable structure set to zero: w 0.041; x 0.000.

## w
# PmNbAu, optimized geometry, DFT GGA-PBE
data_PmNbAu
_space_group_name_H-M_alt 'F -4 3 m'
_space_group_IT_number 216
_space_group_name_Hall 'F -4 2 3'
_cell_length_a 6.622
_cell_length_b 6.622
_cell_length_c 6.622
_cell_angle_alpha 90.00
_cell_angle_beta 90.00
_cell_angle_gamma 90.00
loop_
_atom_site_label
_atom_site_type_symbol
_atom_site_fract_x
_atom_site_fract_y
_atom_site_fract_z
_atom_site_occupancy
Pm1 Pm 0.000 0.000 0.000 1
Nb1 Nb 0.250 0.250 0.750 1
Au1 Au 0.000 0.000 0.500 1
# Magnetization (μB per formula unit): 0.44

## x
# PmNbAu, optimized geometry, DFT GGA-PBE
data_PmNbAu
_space_group_name_H-M_alt 'F -4 3 m'
_space_group_IT_number 216
_space_group_name_Hall 'F -4 2 3'
_cell_length_a 6.830
_cell_length_b 6.830
_cell_length_c 6.830
_cell_angle_alpha 90.00
_cell_angle_beta 90.00
_cell_angle_gamma 90.00
loop_
_atom_site_label
_atom_site_type_symbol
_atom_site_fract_x
_atom_site_fract_y
_atom_site_fract_z
_atom_site_occupancy
Pm1 Pm 0.000 0.000 0.000 1
Nb1 Nb 0.250 0.250 0.250 1
Au1 Au 0.250 0.250 0.750 1
# Magnetization (μB per formula unit): 2.91

Relative energies, in eV/atom, with the most stable structure set to zero: w 0.000; x 0.293.